No. 1
Computed, not measured: a relaxed Hf2CoP crystal at the PBE level of DFT.

Results
The value obtained for the formation energy is -928.9 meV/atom. The total energy comes out at -9.03 eV/atom.

Lattice parameters (Å, degrees): 5.189 3.592 7.379 90.00 109.50 90.00
Space group P2_1/m (No. 11)
Symmetry-distinct sites (fractional):
Hf1 0.205 0.250 0.420 [2 per cell]
Hf2 0.273 0.750 0.065 [2 per cell]
Co1 0.142 0.250 0.790 [2 per cell]
P1 0.362 0.750 0.710 [2 per cell]


No. 2
Computed, not measured: a relaxed Hf3Co4P4 crystal at the PBE level of DFT.

Results
The value obtained for the formation energy is -1005.5 meV/atom. The total energy comes out at -8.27 eV/atom.

Lattice parameters (Å, degrees): 3.714 6.407 12.209 90.00 90.00 90.00
Space group Immm (No. 71)
Symmetry-distinct sites (fractional):
Hf1 0.000 0.000 0.000 [2 per cell]
Hf2 0.000 0.500 0.123 [4 per cell]
Co1 0.000 0.299 0.324 [8 per cell]
P1 0.000 0.000 0.216 [4 per cell]
P2 0.000 0.207 0.500 [4 per cell]


No. 3
Computed, not measured: a relaxed HfCoP2 crystal at the PBE level of DFT.

Results
The value obtained for the formation energy is -321.0 meV/atom. The total energy comes out at -7.29 eV/atom.

Lattice parameters (Å, degrees): 6.124 6.124 6.124 90.00 90.00 90.00
Space group Fm-3m (No. 225)
Symmetry-distinct sites (fractional):
Hf1 0.000 0.000 0.000 [4 per cell]
Co1 0.000 0.000 0.500 [4 per cell]
P1 0.250 0.250 0.250 [8 per cell]


No. 4
Computed, not measured: a relaxed HfCo5P2 crystal at the PBE level of DFT.

Results
The value obtained for the formation energy is -625.7 meV/atom. The total energy comes out at -7.66 eV/atom.

Lattice parameters (Å, degrees): 3.489 6.332 8.615 90.00 90.00 90.00
Space group Immm (No. 71)
Symmetry-distinct sites (fractional):
Hf1 0.000 0.000 0.000 [2 per cell]
Co1 0.000 0.195 0.355 [8 per cell]
Co2 0.000 0.500 0.000 [2 per cell]
P1 0.000 0.500 0.249 [4 per cell]


No. 5
Computed, not measured: a relaxed Hf2Co12P7 crystal at the PBE level of DFT.

Results
The value obtained for the formation energy is -771.8 meV/atom. The total energy comes out at -7.58 eV/atom.

Lattice parameters (Å, degrees): 8.9016 8.9016 3.5297 90.00 90.00 120.00
Space group P-6 (No. 174)
Symmetry-distinct sites (fractional):
Hf1 0.0000 0.0000 0.0000 [1 per cell]
Hf2 0.3333 0.6667 0.5000 [1 per cell]
Co1 0.0513 0.2773 0.5000 [3 per cell]
Co2 0.1066 0.7085 0.0000 [3 per cell]
Co3 0.3897 0.1753 0.0000 [3 per cell]
Co4 0.5335 0.4349 0.5000 [3 per cell]
P1 0.0764 0.4513 0.0000 [3 per cell]
P2 0.2600 0.2163 0.5000 [3 per cell]
P3 0.6667 0.3333 0.0000 [1 per cell]


No. 6
Computed, not measured: a relaxed Hf2Co2P crystal at the PBE level of DFT.

Results
The value obtained for the formation energy is -469.9 meV/atom. The total energy comes out at -8.38 eV/atom.

Lattice parameters (Å, degrees): 6.408 6.408 3.638 90.00 90.00 90.00
Space group P4/mbm (No. 127)
Symmetry-distinct sites (fractional):
Hf1 0.174 0.326 0.000 [4 per cell]
Co1 0.134 0.634 0.500 [4 per cell]
P1 0.000 0.000 0.500 [2 per cell]


No. 7
Computed, not measured: a relaxed HfCo4P2 crystal at the PBE level of DFT.

Results
The value obtained for the formation energy is -726.5 meV/atom. The total energy comes out at -7.75 eV/atom.

Lattice parameters (Å, degrees): 6.889 6.889 3.508 90.00 90.00 90.00
Space group P4_2/mnm (No. 136)
Symmetry-distinct sites (fractional):
Hf1 0.000 0.000 0.000 [2 per cell]
Co1 0.078 0.332 0.500 [8 per cell]
P1 0.224 0.776 0.500 [4 per cell]


No. 8
Computed, not measured: a relaxed Hf5CoP3 crystal at the PBE level of DFT.

Results
The value obtained for the formation energy is -1071.0 meV/atom. The total energy comes out at -9.19 eV/atom.

Lattice parameters (Å, degrees): 16.994 3.591 10.216 90.00 90.00 90.00
Space group Pnma (No. 62)
Symmetry-distinct sites (fractional):
Hf1 0.023 0.250 0.121 [4 per cell]
Hf2 0.075 0.750 0.561 [4 per cell]
Hf3 0.132 0.250 0.816 [4 per cell]
Hf4 0.169 0.750 0.253 [4 per cell]
Hf5 0.227 0.250 0.488 [4 per cell]
Co1 0.089 0.250 0.367 [4 per cell]
P1 0.010 0.750 0.310 [4 per cell]
P2 0.117 0.750 0.006 [4 per cell]
P3 0.217 0.750 0.685 [4 per cell]


No. 9
Computed, not measured: a relaxed Hf2Co5P3 crystal at the PBE level of DFT.

Results
The value obtained for the formation energy is -791.6 meV/atom. The total energy comes out at -7.96 eV/atom.

Lattice parameters (Å, degrees): 3.699 22.046 6.181 90.00 90.00 90.00
Space group Cmc2_1 (No. 36)
Symmetry-distinct sites (fractional):
Hf1 0.000 0.023 0.000 [4 per cell]
Hf2 0.000 0.324 0.022 [4 per cell]
Co1 0.000 0.097 0.370 [4 per cell]
Co2 0.000 0.209 0.236 [4 per cell]
Co3 0.000 0.210 0.835 [4 per cell]
Co4 0.000 0.371 0.536 [4 per cell]
Co5 0.000 0.443 0.166 [4 per cell]
P1 0.000 0.113 0.744 [4 per cell]
P2 0.000 0.267 0.535 [4 per cell]
P3 0.000 0.455 0.793 [4 per cell]


No. 10
Computed, not measured: a relaxed HfCo3P2 crystal at the PBE level of DFT.

Results
The value obtained for the formation energy is -867.7 meV/atom. The total energy comes out at -7.88 eV/atom.

Lattice parameters (Å, degrees): 14.603 3.567 8.887 90.00 107.63 90.00
Space group C2/m (No. 12)
Symmetry-distinct sites (fractional):
Hf1 0.000 0.000 0.000 [2 per cell]
Hf2 0.153 0.000 0.692 [4 per cell]
Co1 0.000 0.500 0.500 [2 per cell]
Co2 0.041 0.000 0.334 [4 per cell]
Co3 0.119 0.500 0.202 [4 per cell]
Co4 0.178 0.500 0.963 [4 per cell]
Co5 0.219 0.000 0.391 [4 per cell]
P1 0.039 0.500 0.783 [4 per cell]
P2 0.139 0.500 0.455 [4 per cell]
P3 0.198 0.000 0.133 [4 per cell]


No. 11
Computed, not measured: a relaxed HfCoP2 crystal at the PBE level of DFT.

Results
The value obtained for the formation energy is -410.0 meV/atom. The total energy comes out at -7.38 eV/atom.

Lattice parameters (Å, degrees): 4.280 4.280 14.294 90.00 90.00 90.00
Space group I-42d (No. 122)
Symmetry-distinct sites (fractional):
Hf1 0.000 0.000 0.000 [4 per cell]
Co1 0.000 0.000 0.500 [4 per cell]
P1 0.148 0.250 0.625 [8 per cell]


No. 12
Computed, not measured: a relaxed Hf3CoP2 crystal at the PBE level of DFT.

Results
The value obtained for the formation energy is -1042.1 meV/atom. The total energy comes out at -9.01 eV/atom.

Lattice parameters (Å, degrees): 10.370 3.656 10.298 90.00 90.00 90.00
Space group Pnma (No. 62)
Symmetry-distinct sites (fractional):
Hf1 0.051 0.250 0.121 [4 per cell]
Hf2 0.121 0.750 0.564 [4 per cell]
Hf3 0.206 0.250 0.800 [4 per cell]
Co1 0.132 0.250 0.374 [4 per cell]
P1 0.026 0.750 0.311 [4 per cell]
P2 0.190 0.750 0.999 [4 per cell]


No. 13
Computed, not measured: a relaxed HfCo2PPt crystal at the PBE level of DFT.

Results
The value obtained for the formation energy is -67.9 meV/atom. The total energy comes out at -7.19 eV/atom.

Lattice parameters (Å, degrees): 4.109 4.109 4.843 90.00 90.00 90.00
Space group P4/mmm (No. 123)
Symmetry-distinct sites (fractional):
Hf1 0.000 0.000 0.000 [1 per cell]
Co1 0.000 0.500 0.500 [2 per cell]
P1 0.000 0.000 0.500 [1 per cell]
Pt1 0.500 0.500 0.000 [1 per cell]


No. 14
Computed, not measured: a relaxed HfCoPRu2 crystal at the PBE level of DFT.

Results
The value obtained for the formation energy is 1736.3 meV/atom. The total energy comes out at -6.47 eV/atom.

Lattice parameters (Å, degrees): 4.750 4.750 4.521 90.00 90.00 90.00
Space group P4/mmm (No. 123)
Symmetry-distinct sites (fractional):
Hf1 0.000 0.000 0.000 [1 per cell]
Co1 0.000 0.000 0.500 [1 per cell]
P1 0.500 0.500 0.500 [1 per cell]
Ru1 0.000 0.500 0.000 [2 per cell]


No. 15
Computed, not measured: a relaxed HfCoP2S crystal at the PBE level of DFT.

Results
The uncorrected formation energy is 657 meV per atom. The total energy comes out at -5.74 eV/atom.

Lattice parameters (Å, degrees): 4.974 4.974 4.838 90.00 90.00 90.00
Space group P4/mmm (No. 123)
Symmetry-distinct sites (fractional):
Hf1 0.000 0.000 0.000 [1 per cell]
Co1 0.500 0.500 0.500 [1 per cell]
P1 0.000 0.500 0.000 [2 per cell]
S1 0.000 0.000 0.500 [1 per cell]


No. 16
Computed, not measured: a relaxed HfCoP2S crystal at the PBE level of DFT.

Results
The uncorrected formation energy is 134 meV per atom. The total energy comes out at -6.27 eV/atom.

Lattice parameters (Å, degrees): 4.244 4.244 4.629 90.00 90.00 90.00
Space group P4/mmm (No. 123)
Symmetry-distinct sites (fractional):
Hf1 0.000 0.000 0.000 [1 per cell]
Co1 0.500 0.500 0.500 [1 per cell]
P1 0.000 0.500 0.500 [2 per cell]
S1 0.500 0.500 0.000 [1 per cell]


No. 17
Computed, not measured: a relaxed HfCo2PS crystal at the PBE level of DFT.

Results
The uncorrected formation energy is 1238 meV per atom. The total energy comes out at -5.50 eV/atom.

Lattice parameters (Å, degrees): 4.664 4.664 4.729 90.00 90.00 90.00
Space group P4/mmm (No. 123)
Symmetry-distinct sites (fractional):
Hf1 0.000 0.000 0.000 [1 per cell]
Co1 0.000 0.500 0.000 [2 per cell]
P1 0.500 0.500 0.500 [1 per cell]
S1 0.000 0.000 0.500 [1 per cell]


No. 18
Computed, not measured: a relaxed HfCoSn2P crystal at the PBE level of DFT.

Results
The value obtained for the formation energy is 939.1 meV/atom. The total energy comes out at -5.16 eV/atom.

Lattice parameters (Å, degrees): 5.552 5.552 4.872 90.00 90.00 90.00
Space group P4/mmm (No. 123)
Symmetry-distinct sites (fractional):
Hf1 0.000 0.000 0.000 [1 per cell]
Co1 0.500 0.500 0.500 [1 per cell]
Sn1 0.000 0.500 0.000 [2 per cell]
P1 0.000 0.000 0.500 [1 per cell]


No. 19
Computed, not measured: a relaxed HfCo2TcP crystal at the PBE level of DFT.

Results
The value obtained for the formation energy is 1768.4 meV/atom. The total energy comes out at -6.22 eV/atom.

Lattice parameters (Å, degrees): 4.498 4.498 4.857 90.00 90.00 90.00
Space group P4/mmm (No. 123)
Symmetry-distinct sites (fractional):
Hf1 0.000 0.000 0.000 [1 per cell]
Co1 0.000 0.500 0.000 [2 per cell]
Tc1 0.000 0.000 0.500 [1 per cell]
P1 0.500 0.500 0.500 [1 per cell]


No. 20
Computed, not measured: a relaxed HfCoTe2P crystal at the PBE level of DFT.

Results
The uncorrected formation energy is 455 meV per atom. The total energy comes out at -5.30 eV/atom.

Lattice parameters (Å, degrees): 5.259 5.259 4.063 90.00 90.00 90.00
Space group P4/mmm (No. 123)
Symmetry-distinct sites (fractional):
Hf1 0.000 0.000 0.000 [1 per cell]
Co1 0.500 0.500 0.000 [1 per cell]
Te1 0.000 0.500 0.500 [2 per cell]
P1 0.500 0.500 0.500 [1 per cell]


| no. | mass density (g/cm3) | density of states at the Fermi level (states/eV per atom) |
| --- | --- | --- |
| 1 | 11.4 | 0.81 |
| 2 | 10.2 | 0.39 |
| 3 | 8.7 | 0.90 |
| 4 | 9.3 | 0.73 |
| 5 | 8.8 | 0.72 |
| 6 | 11.2 | 1.14 |
| 7 | 9.5 | 1.12 |
| 8 | 11.1 | 0.52 |
| 9 | 9.8 | 0.48 |
| 10 | 9.4 | 0.69 |
| 11 | 7.6 | 0.68 |
| 12 | 11.2 | 0.52 |
| 13 | 10.6 | 1.02 |
| 14 | 7.7 | 1.60 |
| 15 | 4.6 | 1.35 |
| 16 | 6.6 | 1.05 |
| 17 | 5.8 | 0.83 |
| 18 | 5.6 | 1.02 |
| 19 | 7.2 | 1.23 |
| 20 | 7.7 | 0.91 |